Density functional theory data (PBE) for Ba2ZnSbO6 after structural relaxation.

The space group is P-1 (No. 2) and the conventional cell measures 5.795, 5.801 and 8.217 Å, with angles of 90.02, 90.01 and 90.07 degrees. Symmetry generates all atoms from Ba at (0.000, 0.000, 0.250), Ba at (0.500, 0.500, 0.250), Zn at (0.000, 0.500, 0.000), Zn at (0.500, 0.000, 0.500), Sb at (0.000, 0.500, 0.500), Sb at (0.500, 0.000, 0.000), O at (0.001, 0.500, 0.257), O at (0.240, 0.253, 0.500), O at (0.249, 0.740, 0.501), O at (0.253, 0.758, 0.999), O at (0.258, 0.246, 0.000) and O at (0.499, 0.000, 0.243).

The value obtained for the electronic total energy is -5.81 eV per atom.



Density functional theory data (PBE) for Ba3ZnSb2O9 after structural relaxation.

The space group is P-3m1 (No. 164) and the conventional cell measures 5.7937, 5.7937 and 7.1339 Å, with angles of 90.00, 90.00 and 120.00 degrees. Symmetry generates all atoms from Ba at (0.0000, 0.0000, 0.0000), Ba at (0.3333, 0.6667, 0.6556), Zn at (0.0000, 0.0000, 0.5000), Sb at (0.3333, 0.6667, 0.1724), O at (0.0000, 0.5000, 0.0000) and O at (0.1698, 0.3397, 0.3238).

The value obtained for the electronic total energy is -6.04 eV per atom.



Density functional theory data (PBE) for BaSm2Sc2O7 after structural relaxation.

The space group is P4_2/mnm (No. 136) and the conventional cell measures 5.787, 5.787 and 20.039 Å, with angles of 90.00, 90.00 and 90.00 degrees. Symmetry generates all atoms from Ba at (0.239, 0.239, 0.000), Sm at (0.222, 0.222, 0.185), Sc at (0.241, 0.241, 0.397), O at (0.000, 0.000, 0.094), O at (0.000, 0.000, 0.367), O at (0.000, 0.500, 0.116), O at (0.182, 0.818, 0.211) and O at (0.213, 0.213, 0.500).

The value obtained for the electronic total energy is -8.26 eV per atom. The total moment is 0.00 μB/cell.



Density functional theory data (PBE) for Ba2Tm2TeSeO2 after structural relaxation.

The space group is P3m1 (No. 156) and the conventional cell measures 4.3420, 4.3420 and 13.8595 Å, with angles of 90.00, 90.00 and 120.00 degrees. Symmetry generates all atoms from Ba at (0.0000, 0.0000, 0.0000), Ba at (0.3333, 0.6667, 0.4776), Tm at (0.6667, 0.3333, 0.2145), Tm at (0.6667, 0.3333, 0.6949), Te at (0.3333, 0.6667, 0.8178), Se at (0.0000, 0.0000, 0.3115), O at (0.6667, 0.3333, 0.0696) and O at (0.6667, 0.3333, 0.5490).

The value obtained for the electronic total energy is -5.73 eV per atom. The total moment is 1.97 μB/cell.



Density functional theory data (PBE) for BaZnSeO after structural relaxation.

The space group is P4/nmm (No. 129, origin choice 2) and the conventional cell measures 3.947, 3.947 and 11.018 Å, with angles of 90.00, 90.00 and 90.00 degrees. Symmetry generates all atoms from Ba at (0.250, 0.250, 0.126), Zn at (0.250, 0.750, 0.500), Se at (0.250, 0.250, 0.646) and O at (0.250, 0.250, 0.902).

The value obtained for the electronic total energy is -4.32 eV per atom.



Density functional theory data (PBE) for BaZnSeO after structural relaxation.

The space group is Pnma (No. 62) and the conventional cell measures 7.761, 3.626 and 12.847 Å, with angles of 90.00, 90.00 and 90.00 degrees. Symmetry generates all atoms from Ba at (0.047, 0.250, 0.211), Zn at (0.171, 0.750, 0.444), Se at (0.151, 0.250, 0.607) and O at (0.249, 0.750, 0.875).

The value obtained for the electronic total energy is -4.28 eV per atom.